No. 1
Compound: ZrMnP2
Source: the Alexandria database
Functional: GGA-PBE
Structure: relaxed

## Properties
Excess energy over the best structure of this formula in the dataset: 0.1050 eV per atom
DOS(E_F): 0.65 states/eV per atom
Calculated formation energy: -0.6348 eV/atom

Cell and atoms, written as CIF:
```
data_ZrMnP2
_chemical_formula_sum 'Zr1 Mn1 P2'
_symmetry_space_group_name_H-M 'P 1'
_symmetry_Int_Tables_number 1
_cell_length_a 5.712
_cell_length_b 5.712
_cell_length_c 3.618
_cell_angle_alpha 89.89
_cell_angle_beta 89.89
_cell_angle_gamma 35.55
loop_
_symmetry_equiv_pos_as_xyz
'x,y,z'
loop_
_atom_site_label
_atom_site_type_symbol
_atom_site_fract_x
_atom_site_fract_y
_atom_site_fract_z
Mn1 Mn 0.235 0.235 0.126
P1 P 0.026 0.026 0.124
P2 P 0.771 0.771 0.626
Zr1 Zr 0.468 0.468 0.624
```

---

No. 2
Compound: ZrMn5P3
Source: the Alexandria database
Functional: GGA-PBE
Structure: relaxed

## Properties
DOS(E_F): 0.67 states/eV per atom
Calculated formation energy: -0.5493 eV/atom

Cell and atoms, written as CIF:
```
data_ZrMn5P3
_chemical_formula_sum 'Zr2 Mn10 P6'
_symmetry_space_group_name_H-M 'P 1'
_symmetry_Int_Tables_number 1
_cell_length_a 3.771
_cell_length_b 6.271
_cell_length_c 10.311
_cell_angle_alpha 90.00
_cell_angle_beta 90.00
_cell_angle_gamma 107.50
loop_
_symmetry_equiv_pos_as_xyz
'x,y,z'
loop_
_atom_site_label
_atom_site_type_symbol
_atom_site_fract_x
_atom_site_fract_y
_atom_site_fract_z
Zr1 Zr 0.810 0.619 0.750
Zr2 Zr 0.190 0.381 0.250
Mn1 Mn 0.810 0.621 0.440
Mn2 Mn 0.190 0.379 0.940
Mn3 Mn 0.000 0.000 0.500
Mn4 Mn 0.000 0.000 0.000
Mn5 Mn 0.459 0.918 0.144
Mn6 Mn 0.541 0.082 0.856
Mn7 Mn 0.541 0.082 0.644
Mn8 Mn 0.810 0.621 0.060
Mn9 Mn 0.190 0.379 0.560
Mn10 Mn 0.459 0.918 0.356
P1 P 0.369 0.739 0.946
P2 P 0.890 0.779 0.250
P3 P 0.369 0.739 0.554
P4 P 0.631 0.261 0.446
P5 P 0.110 0.221 0.750
P6 P 0.631 0.261 0.054
```

---

No. 3
Compound: ZrMnP2
Source: the Alexandria database
Functional: GGA-PBE
Structure: relaxed

## Properties
Excess energy over the best structure of this formula in the dataset: 0.1166 eV per atom
DOS(E_F): 0.57 states/eV per atom
Calculated formation energy: -0.6233 eV/atom

Cell and atoms, written as CIF:
```
data_ZrMnP2
_chemical_formula_sum 'Zr1 Mn1 P2'
_symmetry_space_group_name_H-M 'P 1'
_symmetry_Int_Tables_number 1
_cell_length_a 3.737
_cell_length_b 3.406
_cell_length_c 4.855
_cell_angle_alpha 90.00
_cell_angle_beta 90.00
_cell_angle_gamma 90.00
loop_
_symmetry_equiv_pos_as_xyz
'x,y,z'
loop_
_atom_site_label
_atom_site_type_symbol
_atom_site_fract_x
_atom_site_fract_y
_atom_site_fract_z
Mn1 Mn 0.500 0.750 0.750
P1 P 0.000 0.750 0.008
P2 P 0.000 0.750 0.492
Zr1 Zr 0.500 0.250 0.250
```

---

No. 4
Compound: Zr3MnP
Source: the Alexandria database
Functional: GGA-PBE
Structure: relaxed

## Properties
Excess energy over the best structure of this formula in the dataset: 0.0000 eV per atom
DOS(E_F): 1.43 states/eV per atom
Calculated formation energy: 0.2592 eV/atom

Cell and atoms, written as CIF:
```
data_Zr3MnP
_chemical_formula_sum 'Zr3 Mn1 P1'
_symmetry_space_group_name_H-M 'P 1'
_symmetry_Int_Tables_number 1
_cell_length_a 4.819
_cell_length_b 4.819
_cell_length_c 4.819
_cell_angle_alpha 90.00
_cell_angle_beta 90.00
_cell_angle_gamma 90.00
loop_
_symmetry_equiv_pos_as_xyz
'x,y,z'
loop_
_atom_site_label
_atom_site_type_symbol
_atom_site_fract_x
_atom_site_fract_y
_atom_site_fract_z
P1 P 0.000 0.000 0.000
Mn1 Mn 0.500 0.500 0.500
Zr1 Zr 0.000 0.500 0.000
Zr2 Zr 0.000 0.000 0.500
Zr3 Zr 0.500 0.000 0.000
```

---

No. 5
Compound: ZrMnP
Source: the Alexandria database
Functional: GGA-PBE
Structure: relaxed

## Properties
DOS(E_F): 0.85 states/eV per atom
Calculated formation energy: -0.5167 eV/atom

Cell and atoms, written as CIF:
```
data_ZrMnP
_chemical_formula_sum 'Zr1 Mn1 P1'
_symmetry_space_group_name_H-M 'P 1'
_symmetry_Int_Tables_number 1
_cell_length_a 4.196
_cell_length_b 4.196
_cell_length_c 4.196
_cell_angle_alpha 60.00
_cell_angle_beta 60.00
_cell_angle_gamma 60.00
loop_
_symmetry_equiv_pos_as_xyz
'x,y,z'
loop_
_atom_site_label
_atom_site_type_symbol
_atom_site_fract_x
_atom_site_fract_y
_atom_site_fract_z
Zr1 Zr 0.000 0.000 0.000
Mn1 Mn 0.500 0.500 0.500
P1 P 0.250 0.250 0.250
```

---

No. 6
Compound: Zr2MnP2
Source: the Alexandria database
Functional: GGA-PBE
Structure: relaxed

## Properties
DOS(E_F): 0.61 states/eV per atom
Calculated formation energy: -0.9106 eV/atom

Cell and atoms, written as CIF:
```
data_Zr2MnP2
_chemical_formula_sum 'Zr4 Mn2 P4'
_symmetry_space_group_name_H-M 'P 1'
_symmetry_Int_Tables_number 1
_cell_length_a 6.051
_cell_length_b 6.051
_cell_length_c 4.180
_cell_angle_alpha 90.00
_cell_angle_beta 90.00
_cell_angle_gamma 90.00
loop_
_symmetry_equiv_pos_as_xyz
'x,y,z'
loop_
_atom_site_label
_atom_site_type_symbol
_atom_site_fract_x
_atom_site_fract_y
_atom_site_fract_z
P1 P 0.359 0.859 0.000
P2 P 0.859 0.641 0.000
P3 P 0.641 0.141 0.000
P4 P 0.141 0.359 0.000
Mn1 Mn 0.000 0.000 0.000
Mn2 Mn 0.500 0.500 0.000
Zr1 Zr 0.172 0.672 0.500
Zr2 Zr 0.672 0.828 0.500
Zr3 Zr 0.828 0.328 0.500
Zr4 Zr 0.328 0.172 0.500
```